[1]
Material: H2PdF
Method: DFT, PBE
State: optimized geometry

```
8
Lattice="4.257 0.000 0.000 0.000 4.257 0.000 2.128 2.128 3.951" Properties=species:S:1:pos:R:3 pbc="T T T"
H 5.321 5.472 2.963
F 2.128 2.128 0.000
Pd 4.257 2.128 1.975
H 0.914 3.193 0.988
H 3.343 1.064 0.988
H 3.193 3.042 2.963
Pd 0.000 0.000 0.000
F 2.128 4.257 1.975
```

Summary:
Electronic total energy in eV per cell: -28.44
Spin magnetization in μB per atom: 0.00
Space-group type: I-42d

***

[2]
Material: Ac2AgN
Method: DFT, PBE
State: optimized geometry

```
4
Lattice="-1.165 -3.488 1.285 1.804 -1.650 3.033 -4.989 1.890 6.486" Properties=species:S:1:pos:R:3 pbc="T T T"
Ac -0.764 -1.036 2.387
N 0.402 -3.409 2.901
Ac -3.997 1.207 5.518
Ag -2.168 -1.633 5.399
```

Summary:
Electronic total energy in eV per cell: -21.54
Formation energy without anion corrections in eV per atom: -0.54
Spin magnetization in μB per atom: 0.00
Space-group type: Cm

***

[3]
Material: ErPaCd6
Method: DFT, PBE
State: optimized geometry

```
8
Lattice="5.809 0.000 1.298 2.759 5.111 1.298 1.101 0.657 8.721" Properties=species:S:1:pos:R:3 pbc="T T T"
Cd 8.768 5.231 8.418
Cd 7.410 2.715 7.780
Cd 0.901 0.538 2.898
Cd 5.909 5.231 7.780
Er 0.000 0.000 0.000
Cd 3.760 0.538 3.537
Pa 4.834 2.884 5.658
Cd 2.259 3.053 3.537
```

Summary:
Electronic total energy in eV per cell: -16.50
Energy of formation from the pure elements in eV/atom: 0.381
Spin magnetization in μB per atom: 0.18
Space-group type: R-3m

***

[4]
Material: Tm2AgOsO8
Method: DFT, PBE
State: optimized geometry

```
12
Lattice="4.856 -0.119 -0.098 -0.102 4.855 0.090 -0.128 0.144 6.943" Properties=species:S:1:pos:R:3 pbc="T T T"
O 0.908 3.837 1.253
O 4.038 0.707 1.426
O 1.380 1.509 3.469
Os 0.000 0.000 0.000
O 3.246 3.371 3.467
O 3.718 1.042 5.683
O 0.588 4.172 5.510
Tm 2.451 2.299 1.781
O 1.339 1.329 -0.001
O 3.287 3.550 6.937
Ag -0.064 0.072 3.472
Tm 2.175 2.581 5.155
```

Summary:
Electronic total energy in eV per cell: -84.83
Formation energy without anion corrections in eV per atom: -1.84
Spin magnetization in μB per atom: 0.00
Space-group type: C2/m

***

[5]
Material: FeOs2Se
Method: DFT, PBE
State: optimized geometry

```
4
Lattice="2.883 0.000 0.000 0.000 2.883 0.000 0.000 0.000 6.791" Properties=species:S:1:pos:R:3 pbc="T T T"
Os 1.441 1.441 1.679
Fe 1.441 1.441 4.967
Os 0.000 0.000 6.778
Se 0.000 0.000 3.553
```

Summary:
Electronic total energy in eV per cell: -32.76
Formation energy without anion corrections in eV per atom: 0.41
Spin magnetization in μB per atom: 0.52
Space-group type: P4mm

***

[6]
Material: BiClF2
Method: DFT, PBE
State: optimized geometry

```
8
Lattice="4.564 0.000 0.000 0.000 4.564 0.000 2.282 2.282 7.641" Properties=species:S:1:pos:R:3 pbc="T T T"
F 4.101 1.141 1.910
Cl 2.282 4.564 3.820
Bi 4.564 2.282 3.820
F 5.705 1.819 5.731
F 3.423 2.745 5.731
Cl 2.282 2.282 0.000
F 5.026 3.423 1.910
Bi 0.000 0.000 0.000
```

Summary:
Electronic total energy in eV per cell: -31.64
Formation energy without anion corrections in eV per atom: -1.59
Spin magnetization in μB per atom: 0.00
Space-group type: I-42d

***

[7]
Material: VHSe2
Method: DFT, PBE
State: optimized geometry

```
4
Lattice="5.333 -2.641 3.305 6.597 0.177 1.669 4.895 0.532 4.701" Properties=species:S:1:pos:R:3 pbc="T T T"
V 8.412 -0.966 4.837
Se 1.525 -0.175 0.877
Se 15.300 -1.758 8.798
H 0.000 0.000 0.000
```

Summary:
Electronic total energy in eV per cell: -20.72
Spin magnetization in μB per atom: 0.00
Space-group type: R-3m

***

[8]
Material: KNa2ThCl8
Method: DFT, PBE
State: optimized geometry

```
12
Lattice="-4.084 5.540 1.041 -1.223 -1.948 5.306 7.279 4.724 3.426" Properties=species:S:1:pos:R:3 pbc="T T T"
Na -0.954 2.898 3.975
Cl 3.616 6.995 8.088
K 3.639 2.362 1.713
Cl 4.167 3.083 6.837
Cl 1.381 4.535 3.524
Cl 1.936 7.920 4.888
Cl -2.194 5.233 2.936
Cl 0.036 0.396 4.885
Cl -1.644 1.322 1.685
Cl 0.592 3.782 6.249
Na 2.926 5.418 5.798
Th 0.000 0.000 0.000
```

Summary:
Electronic total energy in eV per cell: -47.39
Formation energy without anion corrections in eV per atom: -1.79
Spin magnetization in μB per atom: 0.02
Space-group type: P-1

***

[9]
Material: CePmCuAu
Method: DFT, PBE
State: optimized geometry

```
4
Lattice="3.842 0.000 0.000 0.000 4.600 0.000 -1.921 0.000 5.593" Properties=species:S:1:pos:R:3 pbc="T T T"
Cu 0.000 0.000 4.716
Ce 1.921 2.300 4.029
Pm 0.000 0.000 1.606
Au 1.921 2.300 0.835
```

Summary:
Electronic total energy in eV per cell: -19.70
Energy of formation from the pure elements in eV/atom: -0.411
Spin magnetization in μB per atom: 0.26
Space-group type: Amm2

***

[10]
Material: Mg2MnRh3
Method: DFT, PBE
State: optimized geometry

```
6
Lattice="3.095 0.000 0.000 0.000 3.095 0.000 0.000 0.000 9.219" Properties=species:S:1:pos:R:3 pbc="T T T"
Mg 1.547 1.547 7.685
Rh 0.000 0.000 6.044
Mn 1.547 1.547 4.609
Rh 0.000 0.000 0.000
Mg 1.547 1.547 1.533
Rh 0.000 0.000 3.175
```

Summary:
Electronic total energy in eV per cell: -36.72
Energy of formation from the pure elements in eV/atom: -0.384
Spin magnetization in μB per atom: 0.64
Space-group type: P4/mmm

***

[11]
Material: SrLiAlO3
Method: DFT, PBE
State: optimized geometry

```
12
Lattice="5.464 -0.488 0.055 2.129 5.056 0.055 2.150 1.293 5.606" Properties=species:S:1:pos:R:3 pbc="T T T"
O 6.327 3.806 2.508
Sr 2.602 1.565 0.814
O 3.416 2.055 3.209
Sr 7.141 4.296 4.903
O 3.618 4.337 1.118
O 4.216 4.697 4.599
O 6.125 1.524 4.599
Li 4.319 3.849 2.858
Al 2.234 1.344 4.206
O 5.527 1.164 1.118
Li 5.424 2.012 2.858
Al 7.510 4.517 1.511
```

Summary:
Electronic total energy in eV per cell: -73.54
Formation energy without anion corrections in eV per atom: -2.43
Spin magnetization in μB per atom: 0.00
Space-group type: C2/m

***

[12]
Material: Rb3Ca2SnCl9
Method: DFT, PBE
State: optimized geometry

```
15
Lattice="7.766 0.000 0.000 -3.883 6.726 0.000 0.000 0.000 9.527" Properties=species:S:1:pos:R:3 pbc="T T T"
Cl 3.883 0.000 0.000
Rb 0.000 4.484 6.355
Cl 1.906 5.584 3.124
Cl -1.942 3.363 0.000
Cl 3.883 4.443 6.403
Rb 3.883 2.242 3.172
Sn 0.000 0.000 4.764
Cl -1.906 5.584 3.124
Cl 0.000 2.283 3.124
Rb 0.000 0.000 0.000
Cl 1.942 3.363 0.000
Ca 0.000 4.484 1.531
Cl 1.977 1.142 6.403
Cl 5.789 1.142 6.403
Ca 3.883 2.242 7.996
```

Summary:
Electronic total energy in eV per cell: -56.73
Formation energy without anion corrections in eV per atom: -1.95
Spin magnetization in μB per atom: 0.00
Space-group type: P-3m1